[1]
The following is a GGA-PBE calculation of a relaxed SrCd2W crystal, from Alexandria.

Cell and atoms, written as CIF:
```
data_SrCd2W
_space_group_name_H-M_alt 'P 1'
_space_group_IT_number 1
_cell_length_a 5.773
_cell_length_b 5.773
_cell_length_c 5.773
_cell_angle_alpha 135.21
_cell_angle_beta 135.21
_cell_angle_gamma 65.20
loop_
_space_group_symop_operation_xyz
'x,y,z'
loop_
_atom_site_label
_atom_site_fract_x
_atom_site_fract_y
_atom_site_fract_z
Cd1 0.000 0.000 0.000
Cd2 0.250 0.750 0.500
Sr1 0.500 0.500 0.000
W1 0.750 0.250 0.500
```

## Properties
**Polymorph energy (0 for the lowest one)**: 0.315 eV per atom
**Space group**: No. 119
**ΔE_f**: 0.869 eV/atom
**Magnetization**: 0.90 μB/f.u.



[2]
The following is a GGA-PBE calculation of a relaxed LiPrBiAu crystal, from Alexandria.

Cell and atoms, written as CIF:
```
data_LiPrBiAu
_space_group_name_H-M_alt 'P 1'
_space_group_IT_number 1
_cell_length_a 5.257
_cell_length_b 5.257
_cell_length_c 5.257
_cell_angle_alpha 60.00
_cell_angle_beta 60.00
_cell_angle_gamma 60.00
loop_
_space_group_symop_operation_xyz
'x,y,z'
loop_
_atom_site_label
_atom_site_fract_x
_atom_site_fract_y
_atom_site_fract_z
Pr1 0.750 0.750 0.750
Au1 0.000 0.000 0.000
Bi1 0.500 0.500 0.500
Li1 0.250 0.250 0.250
```

## Properties
**Space group**: No. 216
**ΔE_f**: -0.646 eV/atom
**Magnetization**: 0.00 μB/f.u.



[3]
The following is a GGA-PBE calculation of a relaxed BaCaRu4 crystal, from Alexandria.

Cell and atoms, written as CIF:
```
data_BaCaRu4
_space_group_name_H-M_alt 'P 1'
_space_group_IT_number 1
_cell_length_a 5.512
_cell_length_b 5.512
_cell_length_c 5.512
_cell_angle_alpha 60.00
_cell_angle_beta 60.00
_cell_angle_gamma 60.00
loop_
_space_group_symop_operation_xyz
'x,y,z'
loop_
_atom_site_label
_atom_site_fract_x
_atom_site_fract_y
_atom_site_fract_z
Ba1 0.750 0.750 0.750
Ca1 0.000 0.000 0.000
Ru1 0.877 0.374 0.374
Ru2 0.374 0.374 0.877
Ru3 0.374 0.877 0.374
Ru4 0.374 0.374 0.374
```

## Properties
**Space group**: No. 216
**ΔE_f**: 0.423 eV/atom
**Magnetization**: 3.68 μB/f.u.



[4]
The following is a GGA-PBE calculation of a relaxed LaTb2Dy6Er crystal, from Alexandria.

Cell and atoms, written as CIF:
```
data_LaTb2Dy6Er
_space_group_name_H-M_alt 'P 1'
_space_group_IT_number 1
_cell_length_a 9.542
_cell_length_b 8.807
_cell_length_c 8.807
_cell_angle_alpha 117.68
_cell_angle_beta 93.34
_cell_angle_gamma 93.34
loop_
_space_group_symop_operation_xyz
'x,y,z'
loop_
_atom_site_label
_atom_site_fract_x
_atom_site_fract_y
_atom_site_fract_z
La1 0.250 0.973 0.027
La2 0.750 0.027 0.973
Tb1 0.452 0.801 0.695
Tb2 0.048 0.305 0.199
Tb3 0.548 0.199 0.305
Tb4 0.952 0.695 0.801
Dy1 0.058 0.125 0.749
Dy2 0.442 0.251 0.875
Dy3 0.942 0.875 0.251
Dy4 0.558 0.749 0.125
Dy5 0.317 0.984 0.437
Dy6 0.183 0.563 0.016
Dy7 0.683 0.016 0.563
Dy8 0.817 0.437 0.984
Dy9 0.117 0.708 0.490
Dy10 0.383 0.510 0.292
Dy11 0.883 0.292 0.510
Dy12 0.617 0.490 0.708
Er1 0.250 0.410 0.590
Er2 0.750 0.590 0.410
```

## Properties
**Space group**: No. 15
**ΔE_f**: 0.120 eV/atom
**Magnetization**: 0.00 μB/f.u.



[5]
The following is a GGA-PBE calculation of a relaxed HgSbPd6 crystal, from Alexandria.

Cell and atoms, written as CIF:
```
data_HgSbPd6
_space_group_name_H-M_alt 'P 1'
_space_group_IT_number 1
_cell_length_a 6.709
_cell_length_b 7.653
_cell_length_c 5.350
_cell_angle_alpha 44.33
_cell_angle_beta 46.73
_cell_angle_gamma 58.48
loop_
_space_group_symop_operation_xyz
'x,y,z'
loop_
_atom_site_label
_atom_site_fract_x
_atom_site_fract_y
_atom_site_fract_z
Hg1 0.000 0.000 0.000
Sb1 0.500 0.500 0.500
Pd1 0.980 0.478 0.787
Pd2 0.745 0.916 0.777
Pd3 0.477 0.253 0.335
Pd4 0.255 0.084 0.223
Pd5 0.020 0.522 0.213
Pd6 0.523 0.747 0.665
```

## Properties
**Polymorph energy (0 for the lowest one)**: 0.101 eV per atom
**Space group**: No. 2
**Formation energy without anion corrections**: -176 meV/atom
**Magnetization**: 0.00 μB/f.u.



[6]
The following is a GGA-PBE calculation of a relaxed LiYP2 crystal, from Alexandria.

Cell and atoms, written as CIF:
```
data_LiYP2
_space_group_name_H-M_alt 'P 1'
_space_group_IT_number 1
_cell_length_a 3.933
_cell_length_b 3.933
_cell_length_c 5.547
_cell_angle_alpha 90.00
_cell_angle_beta 90.00
_cell_angle_gamma 90.00
loop_
_space_group_symop_operation_xyz
'x,y,z'
loop_
_atom_site_label
_atom_site_fract_x
_atom_site_fract_y
_atom_site_fract_z
Li1 0.500 0.500 0.875
P1 0.000 0.000 0.874
P2 0.500 0.500 0.376
Y1 0.000 0.000 0.374
```

## Properties
**Polymorph energy (0 for the lowest one)**: 0.283 eV per atom
**Space group**: No. 99
**ΔE_f**: -0.588 eV/atom
**Magnetization**: 0.00 μB/f.u.